1.
First-principles (PBE) data for a relaxed Ce2PuZn9 crystal, as listed in Alexandria.

Structure (POSCAR):
```
Ce2PuZn9
1.0
2.7192 1.5700 8.7359
-2.7192 1.5700 8.7359
0.0000 -3.1399 8.7359
Ce Pu Zn
2 1 9
Direct
0.1457 0.1457 0.1457
0.8543 0.8543 0.8543
0.0000 0.0000 0.0000
0.0766 0.5836 0.5836
0.3351 0.3351 0.3351
0.4164 0.4164 0.9234
0.4164 0.9234 0.4164
0.5000 0.5000 0.5000
0.5836 0.0766 0.5836
0.5836 0.5836 0.0766
0.6649 0.6649 0.6649
0.9234 0.4164 0.4164
```

Computed properties:
* energy: -39.99 eV per cell
* SG: R-3m, No. 166
* energy of formation from the pure elements: -0.193 eV per atom



2.
First-principles (PBE) data for a relaxed Re2MoH crystal, as listed in Alexandria.

Structure (POSCAR):
```
Re2MoH
1.0
-3.3417 3.3417 2.2586
3.3417 -3.3417 2.2586
3.3417 3.3417 -2.2586
Re Mo H
4 2 2
Direct
0.0220 0.1250 0.3970
0.3750 0.9780 0.1030
0.7280 0.6250 0.6030
0.8750 0.2720 0.8970
0.2500 0.7500 0.5000
0.5000 0.5000 0.0000
0.0000 0.0000 0.0000
0.7500 0.2500 0.5000
```

Computed properties:
* energy: -74.92 eV per cell
* SG: I-42d, No. 122



3.
First-principles (PBE) data for a relaxed LiTaInIr crystal, as listed in Alexandria.

Structure (POSCAR):
```
LiTaInIr
1.0
0.0000 3.1792 3.1792
3.1792 0.0000 3.1792
3.1792 3.1792 0.0000
Li Ta In Ir
1 1 1 1
Direct
0.0000 0.0000 0.0000
0.7500 0.7500 0.7500
0.2500 0.2500 0.2500
0.5000 0.5000 0.5000
```

Computed properties:
* energy: -26.97 eV per cell
* SG: F-43m, No. 216
* energy of formation from the pure elements: -0.401 eV per atom



4.
First-principles (PBE) data for a relaxed La2MgRu crystal, as listed in Alexandria.

Structure (POSCAR):
```
La2MgRu
1.0
3.6231 0.0000 0.0000
0.0000 2.5129 6.1292
0.0000 -2.5129 6.1292
La Mg Ru
2 1 1
Direct
0.0000 0.0000 0.0000
0.5000 0.3112 0.3112
0.0000 0.6888 0.6888
0.5000 0.5114 0.5114
```

Computed properties:
* energy: -21.25 eV per cell
* SG: Amm2, No. 38
* energy of formation from the pure elements: -0.130 eV per atom